Density functional theory data (GGA-PBE) for an optimized crystal structure of PmPaGa2.

Values from the calculation:
Crystal system: cubic
Energy above the most stable polymorph in this dataset: 114 meV per atom
Density of states at the Fermi level: 7.2 states/eV per cell
Total DFT energy (no corrections): -5.33 eV/atom

Lattice parameters (Å, degrees): 5.1169 5.1169 5.1169 60.00 60.00 60.00
Fractional positions:
Pm 0.0000 0.0000 0.0000
Pa 0.5000 0.5000 0.5000
Ga 0.2500 0.2500 0.2500
Ga 0.7500 0.7500 0.7500